Entry 1:
Li2OsRh2: relaxed, GGA-PBE.

Cell lengths 8.0033, 8.0033, 8.0033 Å; angles 159.13, 159.13, 29.69 degrees
Fractional positions:
Os: 0.0000 0.0000 0.0000
Li: 0.2500 0.7500 0.5000
Rh: 0.6098 0.6098 0.0000
Rh: 0.3902 0.3902 0.0000
Li: 0.7500 0.2500 0.5000


Entry 2:
LiOs2Rh: relaxed, GGA-PBE.

Cell lengths 2.8138, 2.8138, 6.7223 Å; angles 90.00, 90.00, 90.00 degrees
Fractional positions:
Rh: 0.0000 0.0000 0.5220
Os: 0.5000 0.5000 0.2437
Os: 0.0000 0.0000 0.9903
Li: 0.5000 0.5000 0.7440


Entry 3:
Li2OsRh: relaxed, GGA-PBE.

Cell lengths 2.5456, 4.2959, 5.0648 Å; angles 90.00, 90.00, 90.00 degrees
Site moments in Bohr magnetons follow the coordinates.
Fractional positions:
Os: 0.5000 0.5000 0.2500  0.01
Rh: 0.5000 0.5000 0.7500  0.07
Li: 0.0000 0.0000 0.0012  0.00
Li: 0.0000 0.0000 0.4988  0.00


Entry 4:
Li2OsRh: relaxed, GGA-PBE.

Cell lengths 4.1944, 4.1944, 4.1944 Å; angles 119.99, 119.99, 90.03 degrees
Fractional positions:
Li: 0.2500 0.7500 0.5000
Li: 0.0000 0.0000 0.0000
Rh: 0.7500 0.2500 0.5000
Os: 0.5000 0.5000 0.0000


Computed ΔE to the lowest computed polymorph (meV/atom) in order:
0, 50, 225, 153
Computed final energy (eV per atom) in order:
-5.6744, -7.7662, -5.4090, -5.4804
Computed formation enthalpy at 0 K (eV per atom) in order:
0.278, 0.165, 0.193, 0.122